(1)
Below is crystalline Be3Hg at its relaxed geometry, with properties calculated at the PBE-GGA level.

Calculated values
Total magnetic moment: 0.0 μB per cell
ΔE_f: 0.27 eV per atom
Distance to the lowest polymorph of the same formula: 0.000 eV per atom
SG: Pnma (62)

Cell lengths 3.7643, 8.8443, 6.5500 Å; angles 90.00, 90.00, 90.00 degrees
Atoms (fractional coordinates):
Be: 0.0886 0.2500 0.7500
Be: 0.5886 0.2500 0.2500
Be: 0.4114 0.7500 0.7500
Be: 0.9114 0.7500 0.2500
Be: 0.5856 0.2499 0.9175
Be: 0.0856 0.2501 0.0825
Be: 0.9144 0.7499 0.5825
Be: 0.4144 0.7501 0.4175
Be: 0.4144 0.7501 0.0825
Be: 0.9144 0.7499 0.9175
Be: 0.0856 0.2501 0.4175
Be: 0.5856 0.2499 0.5825
Hg: 0.7492 0.9999 0.7500
Hg: 0.2492 0.5001 0.2500
Hg: 0.7508 0.4999 0.7500
Hg: 0.2508 0.0001 0.2500

=====

(2)
Below is crystalline NaCa2GaSb at its relaxed geometry, with properties calculated at the PBE-GGA level.

Calculated values
Total magnetic moment: 0.0 μB per cell
Formation energy (no corrections): -0.082 eV/atom
SG: P4/mmm (123)

Cell lengths 5.6450, 5.2382, 5.6450 Å; angles 90.00, 90.00, 90.00 degrees
Atoms (fractional coordinates):
Sb: 0.5000 0.5000 0.5000
Ca: 0.0000 0.0000 0.5000
Ca: 0.5000 0.0000 0.0000
Ga: 0.0000 0.0000 0.0000
Na: 0.0000 0.5000 0.0000

=====

(3)
Below is crystalline Be2CuHg at its relaxed geometry, with properties calculated at the PBE-GGA level.

Calculated values
Total magnetic moment: 0.0 μB per cell
ΔE_f: 0.33 eV per atom
SG: C2/m (12)

Cell lengths 4.1978, 4.1978, 4.8301 Å; angles 79.82, 79.82, 39.28 degrees
Atoms (fractional coordinates):
Be: 0.0144 0.0144 0.9172
Be: 0.4856 0.4856 0.5828
Hg: 0.2500 0.2500 0.2500
Cu: 0.7500 0.7500 0.7500